No. 1
Cs2NaTiF6 | SCAN | PBEsol geometry

Lattice parameters (Å, degrees): 6.249 6.249 10.804 73.19 73.19 60.00
Element x y z (fractional)
1 Cs 0.718 0.718 0.846
2 Cs 0.282 0.282 0.154
3 Cs 0.872 0.872 0.383
4 Cs 0.128 0.128 0.617
5 Na 0.403 0.403 0.790
6 Na 0.597 0.597 0.210
7 Ti 0.000 0.000 0.000
8 Ti 0.500 0.500 0.500
9 F 0.187 0.736 0.890
10 F 0.736 0.187 0.890
11 F 0.187 0.187 0.890
12 F 0.813 0.813 0.110
13 F 0.813 0.264 0.110
14 F 0.264 0.813 0.110
15 F 0.393 0.831 0.383
16 F 0.831 0.393 0.383
17 F 0.169 0.607 0.617
18 F 0.607 0.169 0.617
19 F 0.607 0.607 0.617
20 F 0.393 0.393 0.383

SG: No. 166
ΔE_f (raw): -3.295 eV/atom

No. 2
MoRu | SCAN | PBEsol geometry

Lattice parameters (Å, degrees): 2.740 2.740 3.810 90.00 90.00 90.00
Element x y z (fractional)
1 Ru 0.500 0.500 0.000
2 Mo 0.000 0.000 0.500

DFT formation energy: 0.15 eV per formula unit
SG: No. 123

No. 3
K2AlHg | SCAN | PBEsol geometry

Lattice parameters (Å, degrees): 6.102 7.339 7.339 80.05 65.44 65.44
Element x y z (fractional)
1 K 0.875 0.024 0.476
2 K 0.375 0.976 0.524
3 K 0.649 0.476 0.976
4 K 0.101 0.524 0.024
5 Hg 0.000 0.000 0.000
6 Hg 0.750 0.500 0.500
7 Al 0.500 0.000 0.000
8 Al 0.250 0.500 0.500

DFT formation energy: 0.84 eV per formula unit
SG: No. 122
Energy relative to the lowest polymorph listed for this composition: 0.291 eV per atom

No. 4
MnCd2Pt | SCAN | PBEsol geometry

Lattice parameters (Å, degrees): 4.555 4.555 4.555 60.00 60.00 60.00
Element x y z (fractional)
1 Cd 0.000 0.000 0.000
2 Cd 0.750 0.750 0.750
3 Mn 0.500 0.500 0.500
4 Pt 0.250 0.250 0.250

DFT formation energy: -1.23 eV per formula unit
SG: No. 216

No. 5
Zr5Fe3 | SCAN | PBEsol geometry

Lattice parameters (Å, degrees): 5.600 7.498 7.498 120.00 90.00 90.00
Element x y z (fractional)
1 Fe 0.250 0.000 0.400
2 Fe 0.750 0.000 0.600
3 Fe 0.250 0.600 0.600
4 Fe 0.750 0.600 0.000
5 Fe 0.750 0.400 0.400
6 Fe 0.250 0.400 0.000
7 Zr 0.750 0.000 0.242
8 Zr 0.250 0.000 0.758
9 Zr 0.750 0.758 0.758
10 Zr 0.250 0.758 0.000
11 Zr 0.000 0.667 0.333
12 Zr 0.500 0.667 0.333
13 Zr 0.000 0.333 0.667
14 Zr 0.500 0.333 0.667
15 Zr 0.250 0.242 0.242
16 Zr 0.750 0.242 0.000

DFT formation energy: 0.04 eV per formula unit
SG: No. 193

No. 6
Os2RuRh | SCAN | PBEsol geometry

Lattice parameters (Å, degrees): 2.680 2.680 7.627 90.00 90.00 90.00
Element x y z (fractional)
1 Os 0.000 0.000 0.999
2 Os 0.500 0.500 0.249
3 Rh 0.000 0.000 0.501
4 Ru 0.500 0.500 0.752

DFT formation energy: 0.40 eV per formula unit
SG: No. 99
Energy relative to the lowest polymorph listed for this composition: 0.004 eV per atom